# 1
The following is a DFT calculation (PBE-GGA) of a geometry-optimized SiRuW2 structure.

Computed properties:
SG: P4/mmm
ΔE_f (raw) (eV per atom): 0.2099
E (eV for the cell shown): -39.766

Cell lengths 4.595, 4.595, 2.808 Å; angles 90.00, 90.00, 90.00 degrees
Positions (direct):
W 0.500 0.500 0.000
W 0.000 0.000 0.000
Si 0.000 0.500 0.500
Ru 0.500 0.000 0.500

***

# 2
The following is a DFT calculation (PBE-GGA) of a geometry-optimized SiRuW2 structure.

Computed properties:
SG: Imm2
ΔE_f (raw) (eV per atom): -0.0440
E (eV for the cell shown): -40.781

Cell lengths 5.220, 5.220, 4.467 Å; angles 64.68, 64.68, 32.34 degrees
Positions (direct):
Si 0.240 0.240 0.260
W 0.976 0.976 0.024
W 0.758 0.758 0.742
Ru 0.525 0.525 0.475

***

# 3
The following is a DFT calculation (PBE-GGA) of a geometry-optimized Si2RuW structure.

Computed properties:
SG: Fm-3m
ΔE_f (raw) (eV per atom): -0.1619
E (eV for the cell shown): -33.723
Polymorph energy (0 for the lowest one) (eV per atom): 0.1270

Cell lengths 4.244, 4.244, 4.244 Å; angles 60.00, 60.00, 60.00 degrees
Positions (direct):
Si 0.750 0.750 0.750
Si 0.250 0.250 0.250
Ru 0.000 0.000 0.000
W 0.500 0.500 0.500

***

# 4
The following is a DFT calculation (PBE-GGA) of a geometry-optimized Si3RuW structure.

Computed properties:
SG: Pm-3m
ΔE_f (raw) (eV per atom): 1.2026
E (eV for the cell shown): -32.485
Polymorph energy (0 for the lowest one) (eV per atom): 0.0052

Cell lengths 4.682, 4.682, 4.682 Å; angles 90.00, 90.00, 90.00 degrees
Each line ends with the local moment (μB).
Positions (direct):
Ru 0.500 0.500 0.500  1.99
Si 0.000 0.000 0.500  0.03
Si 0.500 0.000 0.000  0.00
Si 0.000 0.500 0.000  0.01
W 0.000 0.000 0.000  0.20

***

# 5
The following is a DFT calculation (PBE-GGA) of a geometry-optimized SiRuW2 structure.

Computed properties:
SG: P4mm
ΔE_f (raw) (eV per atom): -0.0808
E (eV for the cell shown): -40.928

Cell lengths 2.848, 2.848, 7.174 Å; angles 90.00, 90.00, 90.04 degrees
Positions (direct):
Si 0.500 0.500 0.728
W 0.000 0.000 0.973
W 0.500 0.500 0.268
Ru 0.000 0.000 0.531

***

# 6
The following is a DFT calculation (PBE-GGA) of a geometry-optimized Si2RuW2 structure.

Computed properties:
SG: P4/mbm
ΔE_f (raw) (eV per atom): -0.1625
E (eV for the cell shown): -93.682

Cell lengths 6.036, 6.036, 3.909 Å; angles 90.00, 90.00, 90.00 degrees
Positions (direct):
W 0.166 0.666 0.500
W 0.666 0.834 0.500
W 0.834 0.334 0.500
W 0.334 0.166 0.500
Si 0.136 0.364 0.000
Si 0.636 0.136 0.000
Si 0.864 0.636 0.000
Si 0.364 0.864 0.000
Ru 0.500 0.500 0.000
Ru 0.000 0.000 0.000

***

# 7
The following is a DFT calculation (PBE-GGA) of a geometry-optimized Si2RuW structure.

Computed properties:
SG: Pmmm
ΔE_f (raw) (eV per atom): 0.0314
E (eV for the cell shown): -32.949
Polymorph energy (0 for the lowest one) (eV per atom): 0.3204

Cell lengths 2.982, 4.886, 3.930 Å; angles 90.00, 90.00, 90.00 degrees
Positions (direct):
Ru 0.000 0.500 0.500
Si 0.000 0.000 0.000
Si 0.500 0.500 0.000
W 0.500 0.000 0.500

***

# 8
The following is a DFT calculation (PBE-GGA) of a geometry-optimized Si2RuW structure.

Computed properties:
SG: F-43m
ΔE_f (raw) (eV per atom): 0.1917
E (eV for the cell shown): -32.308
Polymorph energy (0 for the lowest one) (eV per atom): 0.4807

Cell lengths 4.331, 4.331, 4.331 Å; angles 60.00, 60.00, 60.00 degrees
Positions (direct):
Si 0.250 0.250 0.250
Si 0.000 0.000 0.000
W 0.750 0.750 0.750
Ru 0.500 0.500 0.500